[1]
# Sm2GdAuSe6 (PBE-GGA, optimized geometry)
data_Sm2GdAuSe6
_cell_length_a 4.444
_cell_length_b 7.135
_cell_length_c 8.904
_cell_angle_alpha 89.27
_cell_angle_beta 78.26
_cell_angle_gamma 82.55
_symmetry_space_group_name_H-M 'P 1'
_symmetry_Int_Tables_number 1
_symmetry_space_group_name_Hall 'P 1'
loop_
_atom_site_label
_atom_site_type_symbol
_atom_site_fract_x
_atom_site_fract_y
_atom_site_fract_z
Sm1 Sm 0.143 0.448 0.228
Sm2 Sm 0.857 0.552 0.772
Gd1 Gd 0.500 0.000 0.500
Au1 Au 0.500 0.000 0.000
Se1 Se 0.065 0.736 0.472
Se2 Se 0.300 0.838 0.795
Se3 Se 0.351 0.323 0.896
Se4 Se 0.649 0.677 0.104
Se5 Se 0.700 0.162 0.205
Se6 Se 0.935 0.264 0.528
# SG: No. 2
# M_tot: 0.0 μB per cell
# Calculated density: 6.84 g/cm³
# Total energy: -5.19 eV/atom

[2]
# GdSnTe2AuSe (PBE-GGA, optimized geometry)
data_GdSnTe2AuSe
_cell_length_a 7.692
_cell_length_b 7.692
_cell_length_c 10.553
_cell_angle_alpha 90.00
_cell_angle_beta 90.00
_cell_angle_gamma 147.92
_symmetry_space_group_name_H-M 'P 1'
_symmetry_Int_Tables_number 1
_symmetry_space_group_name_Hall 'P 1'
loop_
_atom_site_label
_atom_site_type_symbol
_atom_site_fract_x
_atom_site_fract_y
_atom_site_fract_z
Gd1 Gd 0.000 0.000 0.000
Gd2 Gd 0.000 0.000 0.500
Sn1 Sn 0.251 0.749 0.750
Sn2 Sn 0.749 0.251 0.250
Te1 Te 0.347 0.653 0.057
Te2 Te 0.347 0.653 0.443
Te3 Te 0.653 0.347 0.557
Te4 Te 0.653 0.347 0.943
Au1 Au 0.475 0.525 0.250
Au2 Au 0.525 0.475 0.750
Se1 Se 0.088 0.912 0.250
Se2 Se 0.912 0.088 0.750
# SG: No. 63
# M_tot: 0.0 μB per cell
# Calculated density: 8.08 g/cm³
# Total energy: -4.34 eV/atom

[3]
# GdSnTeAuSe2 (PBE-GGA, optimized geometry)
data_GdSnTeAuSe2
_cell_length_a 7.364
_cell_length_b 7.364
_cell_length_c 11.110
_cell_angle_alpha 90.00
_cell_angle_beta 90.00
_cell_angle_gamma 147.55
_symmetry_space_group_name_H-M 'P 1'
_symmetry_Int_Tables_number 1
_symmetry_space_group_name_Hall 'P 1'
loop_
_atom_site_label
_atom_site_type_symbol
_atom_site_fract_x
_atom_site_fract_y
_atom_site_fract_z
Gd1 Gd 0.000 0.000 0.000
Gd2 Gd 0.000 0.000 0.500
Sn1 Sn 0.205 0.795 0.750
Sn2 Sn 0.795 0.205 0.250
Te1 Te 0.105 0.895 0.250
Te2 Te 0.895 0.105 0.750
Au1 Au 0.470 0.530 0.250
Au2 Au 0.530 0.470 0.750
Se1 Se 0.359 0.641 0.057
Se2 Se 0.359 0.641 0.443
Se3 Se 0.641 0.359 0.557
Se4 Se 0.641 0.359 0.943
# SG: No. 63
# M_tot: 0.0 μB per cell
# Calculated density: 7.79 g/cm³
# Total energy: -4.49 eV/atom

[4]
# SrGdAuSe3 (PBE-GGA, optimized geometry)
data_SrGdAuSe3
_cell_length_a 9.457
_cell_length_b 9.457
_cell_length_c 8.488
_cell_angle_alpha 101.13
_cell_angle_beta 101.13
_cell_angle_gamma 25.08
_symmetry_space_group_name_H-M 'P 1'
_symmetry_Int_Tables_number 1
_symmetry_space_group_name_Hall 'P 1'
loop_
_atom_site_label
_atom_site_type_symbol
_atom_site_fract_x
_atom_site_fract_y
_atom_site_fract_z
Sr1 Sr 0.127 0.127 0.080
Sr2 Sr 0.873 0.873 0.920
Gd1 Gd 0.164 0.164 0.595
Gd2 Gd 0.836 0.836 0.405
Au1 Au 0.454 0.454 0.285
Au2 Au 0.546 0.546 0.715
Se1 Se 0.000 0.000 0.500
Se2 Se 0.313 0.313 0.156
Se3 Se 0.326 0.326 0.638
Se4 Se 0.500 0.500 0.000
Se5 Se 0.674 0.674 0.362
Se6 Se 0.687 0.687 0.844
# SG: No. 12
# M_tot: 0.0 μB per cell
# Calculated density: 7.15 g/cm³
# Total energy: -4.79 eV/atom

Question: Which value of total energy does entry 3 give?
Answer: -4.49 eV/atom

Question: What is the M_tot in the fourth record?
Answer: 0.0 μB per cell